The following is a PBE-GGA calculation of a geometry-optimized Rb3La2MnSe6 structure, from Alexandria via LeMat-Bulk.

- SG = C2/m
- E_tot (Ry per atom) = -0.3632

Unit cell a=7.4667 b=7.4667 c=8.3620 alpha=98.60 beta=98.60 gamma=120.05
With the nearest neighbours (Å) after each atom.
Fractional positions:
La 0.6663 0.3337 0.0000  6 Se 3.02-3.03
Rb 0.8300 0.1700 0.5000  6 Se 3.43-3.63
Se 0.6324 0.9360 0.8080  1 Mn 2.73, 2 La 3.02-3.03
La 0.3337 0.6663 0.0000  6 Se 3.02-3.03
Se 0.9360 0.6324 0.8080  1 Mn 2.73, 2 La 3.02-3.03
Mn 0.0000 0.0000 0.0000  6 Se 2.73
Rb 0.5000 0.5000 0.5000  6 Se 3.42-3.66
Se 0.2381 0.2381 0.8072  1 Mn 2.73, 2 La 3.03
Rb 0.1700 0.8300 0.5000  6 Se 3.43-3.63
Se 0.3676 0.0640 0.1920  1 Mn 2.73, 2 La 3.02-3.03
Se 0.0640 0.3676 0.1920  1 Mn 2.73, 2 La 3.02-3.03
Se 0.7619 0.7619 0.1928  1 Mn 2.73, 2 La 3.03

---

The following is a PBE-GGA calculation of a geometry-optimized RbLaMnSe3 structure, from Alexandria via LeMat-Bulk.

- SG = P2_1/m
- E_tot (Ry per atom) = -0.4111

Unit cell a=4.4095 b=9.5594 c=10.1366 alpha=105.84 beta=90.00 gamma=90.00
With the nearest neighbours (Å) after each atom.
Fractional positions:
La 0.2500 0.6661 0.1481  6 Se 2.98-3.18
Se 0.7500 0.1886 0.5303  3 Mn 2.60-2.61
Mn 0.7500 0.9153 0.3951  4 Se 2.46-2.61
La 0.7500 0.3339 0.8519  6 Se 2.98-3.18
Mn 0.2500 0.0847 0.6049  4 Se 2.46-2.61
Se 0.2500 0.8114 0.4697  3 Mn 2.60-2.61
Rb 0.7500 0.8025 0.7723  7 Se 3.54-3.80
Se 0.7500 0.4568 0.1556  3 La 2.98-2.99
Rb 0.2500 0.1975 0.2277  7 Se 3.54-3.80
Se 0.2500 0.1148 0.8542  1 Mn 2.46
Se 0.7500 0.8852 0.1458  1 Mn 2.46
Se 0.2500 0.5432 0.8444  3 La 2.98-2.99

---

The following is a PBE-GGA calculation of a geometry-optimized Rb2LaMnSi structure, from Alexandria via LeMat-Bulk.

- SG = P4/mmm
- E_tot (Ry per atom) = -0.2382

Unit cell a=6.0607 b=5.4814 c=6.0607 alpha=90.00 beta=90.00 gamma=90.00
With the nearest neighbours (Å) after each atom.
Fractional positions:
La 0.0000 0.5000 0.0000  2 Mn 2.74
Rb 0.0000 0.0000 0.5000  2 Mn 3.03
Rb 0.5000 0.0000 0.0000  2 Mn 3.03
Si 0.5000 0.5000 0.5000  8 Rb 4.09, 4 La 4.29
Mn 0.0000 0.0000 0.0000  2 La 2.74, 4 Rb 3.03

---

The following is a PBE-GGA calculation of a geometry-optimized Rb3La2MnTe6 structure, from Alexandria via LeMat-Bulk.

- SG = C2/m
- E_tot (Ry per atom) = -0.3299

Unit cell a=7.9859 b=7.9859 c=8.9188 alpha=98.50 beta=98.50 gamma=120.44
With the nearest neighbours (Å) after each atom.
Fractional positions:
Rb 0.8275 0.1725 0.5000  6 Te 3.63-3.81
Te 0.3728 0.0665 0.1971  1 Mn 2.97, 2 La 3.22-3.24
Mn 0.0000 0.0000 0.0000  6 Te 2.86-2.97
Te 0.2324 0.2324 0.8085  1 Mn 2.86
La 0.6670 0.3330 0.0000  6 Te 3.22-3.26
Te 0.9335 0.6272 0.8029  1 Mn 2.97, 2 La 3.22-3.24
La 0.3330 0.6670 0.0000  6 Te 3.22-3.26
Rb 0.1725 0.8275 0.5000  6 Te 3.63-3.81
Te 0.0665 0.3728 0.1971  1 Mn 2.97, 2 La 3.22-3.24
Te 0.6272 0.9335 0.8029  1 Mn 2.97, 2 La 3.22-3.24
Te 0.7676 0.7676 0.1915  1 Mn 2.86
Rb 0.5000 0.5000 0.5000  6 Te 3.63-3.94

---

The following is a PBE-GGA calculation of a geometry-optimized Rb4La3MnTe8 structure, from Alexandria via LeMat-Bulk.

- SG = R-3m
- E_tot (Ry per atom) = -0.3303

Unit cell a=9.2765 b=10.0761 c=9.2793 alpha=117.42 beta=119.99 gamma=90.00
With the nearest neighbours (Å) after each atom.
Fractional positions:
La 0.5000 0.5000 0.0000  6 Te 3.22-3.25
Rb 0.5000 0.0000 0.5000  6 Te 3.64-3.67
Te 0.7819 0.3058 0.5638  1 Mn 2.97, 2 La 3.25
Te 0.7587 0.6937 0.9762  1 Mn 2.96, 2 La 3.25
La 0.5000 0.5000 0.5000  6 Te 3.22-3.25
Te 0.2633 0.2897 0.5265  3 La 3.22
Rb 0.0000 0.0000 0.5000  6 Te 3.64-3.67
Te 0.7825 0.3063 0.0238  1 Mn 2.96, 2 La 3.25
Te 0.2181 0.6942 0.4362  1 Mn 2.97, 2 La 3.25
Te 0.2175 0.6937 0.9762  1 Mn 2.96, 2 La 3.25
Te 0.7367 0.7103 0.4735  3 La 3.22
Te 0.2413 0.3063 0.0238  1 Mn 2.96, 2 La 3.25
Rb 0.0000 0.0000 0.0000  6 Te 3.65-3.67
La 0.0000 0.5000 0.5000  6 Te 3.22-3.25
Rb 0.5000 0.0000 0.0000  6 Te 3.90
Mn 0.0000 0.5000 0.0000  6 Te 2.96-2.97

---

The following is a PBE-GGA calculation of a geometry-optimized Rb2LaMnTe4 structure, from Alexandria via LeMat-Bulk.

- SG = Imma
- E_tot (Ry per atom) = -0.3270

Unit cell a=9.5673 b=9.5678 c=9.6651 alpha=120.34 beta=120.34 gamma=92.22
With the nearest neighbours (Å) after each atom.
Fractional positions:
Te 0.2154 0.7393 0.9774  2 La 3.18, 1 Mn 3.29, 2 Rb 3.46
La 0.0000 0.4999 0.5000  6 Te 3.18-3.39
Rb 0.5000 0.0000 0.0000  6 Te 3.46-3.64
La 0.0000 0.5000 0.0000  6 Te 3.18-3.39
Te 0.2409 0.2591 0.0704  2 Mn 2.86
Te 0.2393 0.7153 0.4773  2 La 3.18, 1 Mn 3.29, 2 Rb 3.46-3.47
Te 0.2409 0.2591 0.4296  2 Mn 2.86
Te 0.7591 0.7409 0.5708  2 Mn 2.86
Rb 0.0001 0.0000 0.5000  6 Te 3.62-3.85
Te 0.7847 0.2607 0.0227  2 La 3.18, 1 Mn 3.29, 2 Rb 3.46-3.47
Te 0.7607 0.2846 0.5227  2 La 3.18, 1 Mn 3.29, 2 Rb 3.46
Rb 0.5000 0.0000 0.5000  6 Te 3.46-3.64
Mn 0.4997 0.4999 0.4998  4 Te 2.86
Rb 0.5000 0.4999 0.0000  6 Te 3.62-3.85
Te 0.7591 0.7409 0.9292  2 Mn 2.86
Mn 0.0001 0.0003 0.0002  4 Te 2.86

---

Q: Which ΔE_f (raw) values were calculated for the entries above? A: -1.372; -1.340; 1.051; -1.090; -1.184; -0.874, in eV/atom.
Q: Which calculated density values were calculated for the entries above? A: 4.58; 4.17; 3.24; 4.80; 4.79; 4.80, in g/cm3.